1.
DFT (GGA-PBE) results for crystalline AcTlBi2 at its relaxed geometry.

Properties
The calculation puts the distance to the lowest polymorph of the same formula at 157 meV/atom. Its magnetic moment is 0.000 Bohr magnetons per cell. Its formation energy is -0.3496 eV per atom. The density of states at the Fermi level is 2.88 states/eV/cell. For the energy, the calculation gives -3.9088 eV/atom.

POSCAR file:
```
AcTlBi2
1.0
0.000 4.108 4.108
4.108 0.000 4.108
4.108 4.108 0.000
Ac Tl Bi
1 1 2
Direct
0.000 0.000 0.000
0.500 0.500 0.500
0.250 0.250 0.250
0.750 0.750 0.750
```


2.
DFT (GGA-PBE) results for crystalline Sm2ZnHg2 at its relaxed geometry.

Properties
The calculation puts the distance to the lowest polymorph of the same formula at 5 meV/atom. Its magnetic moment is 0.455 Bohr magnetons per cell. Its formation energy is -0.3811 eV per atom. The density of states at the Fermi level is 5.19 states/eV/cell. For the energy, the calculation gives -2.6443 eV/atom.

POSCAR file:
```
Sm2ZnHg2
1.0
3.678 0.000 0.000
0.000 2.310 7.361
0.000 -2.310 7.361
Sm Zn Hg
2 1 2
Direct
0.000 0.000 0.000
0.000 0.242 0.242
0.500 0.422 0.422
0.500 0.614 0.614
0.500 0.822 0.822
```